1.
## NdEr3Sc (GGA-PBE)

Data for crystalline NdEr3Sc at its relaxed geometry.

Output
**Formation energy from the elements**: 0.6 kcal/mol of atoms
**Excess energy over the best structure of this formula in the dataset**: 0.00 eV per formula unit
**Density**: 7.53 Mg/m³
**Magnetic moment**: 0.01 μB per formula unit
**Symmetry**: P2_1/m, No. 11

POSCAR file:
```
NdEr3Sc
1.0
-3.7739 -2.3384 3.3359
4.5292 -2.5121 3.3629
-2.1403 8.4704 3.5162
Nd Er Sc
2 6 2
direct
0.2500 0.2702 0.2016 Nd
0.7500 0.7298 0.7984 Nd
0.7500 0.5464 0.4047 Er
0.2500 0.4536 0.5953 Er
0.7500 0.3331 0.9963 Er
0.2500 0.0635 0.7904 Er
0.2500 0.6669 0.0037 Er
0.7500 0.9365 0.2096 Er
0.2500 0.8692 0.4050 Sc
0.7500 0.1308 0.5950 Sc
```

2.
## Nd8Er6Sc (GGA-PBE)

Data for crystalline Nd8Er6Sc at its relaxed geometry.

Output
**Formation energy from the elements**: 2.9 kcal/mol of atoms
**Density**: 7.39 Mg/m³
**Magnetic moment**: 0.00 μB per formula unit
**Symmetry**: R-3, No. 148

POSCAR file:
```
Nd8Er6Sc
1.0
-5.0871 3.3280 -6.2090
-5.3253 -5.5038 -4.1053
-8.4802 0.6526 1.7793
Nd Er Sc
8 6 1
direct
0.1120 0.7161 0.7554 Nd
0.2446 0.8880 0.2839 Nd
0.2839 0.2446 0.8880 Nd
0.5779 0.5779 0.5779 Nd
0.4221 0.4221 0.4221 Nd
0.7161 0.7554 0.1120 Nd
0.7554 0.1120 0.7161 Nd
0.8880 0.2839 0.2446 Nd
0.9032 0.4567 0.7550 Er
0.2450 0.0968 0.5433 Er
0.5433 0.2450 0.0968 Er
0.4567 0.7550 0.9032 Er
0.7550 0.9032 0.4567 Er
0.0968 0.5433 0.2450 Er
0.0000 0.0000 0.0000 Sc
```

3.
## Nd10ErSc4 (GGA-PBE)

Data for crystalline Nd10ErSc4 at its relaxed geometry.

Output
**Formation energy from the elements**: 12.0 kcal/mol of atoms
**Density**: 5.72 Mg/m³
**Magnetic moment**: 0.00 μB per formula unit
**Symmetry**: I4/m, No. 87

POSCAR file:
```
Nd10ErSc4
1.0
-7.5236 -3.1597 1.1860
-2.8206 -6.2148 -5.7841
-0.6516 -7.2630 5.1826
Nd Er Sc
10 1 4
direct
0.2500 0.5000 0.5000 Nd
0.6910 0.3435 0.8858 Nd
0.9655 0.1142 0.3435 Nd
0.4232 0.8858 0.6565 Nd
0.9203 0.6565 0.1142 Nd
0.3090 0.6565 0.1142 Nd
0.7500 0.5000 0.5000 Nd
0.0797 0.3435 0.8858 Nd
0.5768 0.1142 0.3435 Nd
0.0345 0.8858 0.6565 Nd
0.0000 0.0000 0.0000 Er
0.4343 0.8543 0.2772 Sc
0.7114 0.7228 0.8543 Sc
0.2886 0.2772 0.1457 Sc
0.5657 0.1457 0.7228 Sc
```

4.
## Nd2Er9Sc (GGA-PBE)

Data for crystalline Nd2Er9Sc at its relaxed geometry.

Output
**Formation energy from the elements**: 0.8 kcal/mol of atoms
**Density**: 8.27 Mg/m³
**Magnetic moment**: 0.00 μB per formula unit
**Symmetry**: P4/mmm, No. 123

POSCAR file:
```
Nd2Er9Sc
1.0
4.9792 0.0000 0.0000
0.0000 4.9792 0.0000
0.0000 0.0000 14.9002
Nd Er Sc
2 9 1
direct
0.0000 0.0000 0.3316 Nd
0.0000 0.0000 0.6684 Nd
0.5000 0.5000 0.0000 Er
0.5000 0.5000 0.3298 Er
0.5000 0.5000 0.6702 Er
0.5000 0.0000 0.1602 Er
0.5000 0.0000 0.5000 Er
0.5000 0.0000 0.8398 Er
0.0000 0.5000 0.1602 Er
0.0000 0.5000 0.5000 Er
0.0000 0.5000 0.8398 Er
0.0000 0.0000 0.0000 Sc
```